# 1
This record from the Alexandria database describes a relaxed LiCaMo2 crystal. The functional is PBE.

a = 5.9064 Å, b = 5.9064 Å, c = 4.3891 Å
α = 68.16°, β = 68.16°, γ = 30.73°
With the nearest neighbours (Å) after each atom.
Sites, in units of the cell vectors:
Mo 0.0151 0.0151 0.9850  4 Mo 2.71, 2 Li 2.92
Mo 0.4849 0.4849 0.5150  4 Mo 2.71, 2 Li 2.92
Ca 0.2500 0.2500 0.2500  4 Li 2.70
Li 0.7500 0.7500 0.7500  4 Ca 2.70, 4 Mo 2.92

Calculated values
**SG**: No. 71
**E above lowest polymorph**: 0.174 eV/atom
**Formation enthalpy at 0 K**: 0.563 eV/atom

# 2
This record from the Alexandria database describes a relaxed Li2CaMo crystal. The functional is PBE.

a = 5.6220 Å, b = 5.6220 Å, c = 2.7563 Å
α = 90.00°, β = 90.00°, γ = 116.38°
With the nearest neighbours (Å) after each atom.
Sites, in units of the cell vectors:
Ca 0.0000 0.5000 0.5000  2 Ca 2.76, 2 Mo 2.96
Li 0.0000 0.0000 0.0000  4 Li 2.76-2.96
Li 0.5000 0.5000 0.0000  4 Li 2.76-2.96
Mo 0.5000 0.0000 0.5000  2 Mo 2.76, 2 Ca 2.96

Calculated values
**SG**: No. 65
**E above lowest polymorph**: 0.184 eV/atom
**Formation enthalpy at 0 K**: 0.669 eV/atom

# 3
This record from the Alexandria database describes a relaxed LiCaMo2 crystal. The functional is PBE.

a = 5.6107 Å, b = 5.6107 Å, c = 5.6107 Å
α = 145.10°, β = 123.43°, γ = 68.22°
With the nearest neighbours (Å) after each atom.
Sites, in units of the cell vectors:
Mo 0.7925 0.2925 0.5000  2 Mo 2.37
Mo 0.9726 0.9726 0.0000  2 Mo 2.37
Li 0.2302 0.7302 0.5000  6 Mo 2.93-3.20, 2 Ca 3.06
Ca 0.5048 0.5048 0.0000  4 Li 3.06-3.38, 8 Mo 3.16-3.31, 2 Ca 3.36

Calculated values
**SG**: No. 44
**E above lowest polymorph**: 0.211 eV/atom
**Formation enthalpy at 0 K**: 0.600 eV/atom

# 4
This record from the Alexandria database describes a relaxed LiCaMo2 crystal. The functional is PBE.

a = 3.4567 Å, b = 3.4567 Å, c = 6.6655 Å
α = 90.00°, β = 90.00°, γ = 90.00°
With the nearest neighbours (Å) after each atom.
Sites, in units of the cell vectors:
Ca 0.5000 0.5000 0.2500  8 Mo 3.33, 2 Li 3.33, 4 Ca 3.46
Mo 0.0000 0.0000 0.5884  1 Mo 2.15
Mo 0.0000 0.0000 0.9116  1 Mo 2.15
Li 0.5000 0.5000 0.7500  8 Mo 2.67

Calculated values
**SG**: No. 123
**E above lowest polymorph**: 0.376 eV/atom
**Formation enthalpy at 0 K**: 0.765 eV/atom

# 5
This record from the Alexandria database describes a relaxed LiCaMo3 crystal. The functional is PBE.

a = 4.6837 Å, b = 4.6837 Å, c = 4.6837 Å
α = 90.00°, β = 90.00°, γ = 90.00°
With the nearest neighbours (Å) after each atom.
Sites, in units of the cell vectors:
Mo 0.0000 0.5000 0.0000  2 Ca 2.34
Mo 0.5000 0.0000 0.0000  2 Ca 2.34
Mo 0.0000 0.0000 0.5000  2 Ca 2.34
Li 0.5000 0.5000 0.5000  12 Mo 3.31
Ca 0.0000 0.0000 0.0000  6 Mo 2.34

Calculated values
**SG**: No. 221
**E above lowest polymorph**: 1.153 eV/atom
**Formation enthalpy at 0 K**: 2.618 eV/atom

# 6
This record from the Alexandria database describes a relaxed LiCaMo2 crystal. The functional is PBE.

a = 2.7191 Å, b = 4.2228 Å, c = 6.6993 Å
α = 90.00°, β = 90.00°, γ = 90.00°
With the nearest neighbours (Å) after each atom.
Sites, in units of the cell vectors:
Mo 0.0000 0.0000 0.0160  6 Mo 2.72-2.78, 4 Li 2.94
Mo 0.5000 0.5000 0.1956  6 Mo 2.72-2.78, 1 Li 2.73
Ca 0.0000 0.0000 0.4996  2 Ca 2.72
Li 0.5000 0.5000 0.7888  2 Li 2.72, 5 Mo 2.73-2.94

Calculated values
**SG**: No. 25
**E above lowest polymorph**: 0.195 eV/atom
**Formation enthalpy at 0 K**: 0.585 eV/atom

# 7
This record from the Alexandria database describes a relaxed Li2CaMo crystal. The functional is PBE.

a = 10.9060 Å, b = 10.9060 Å, c = 10.9060 Å
α = 15.60°, β = 15.60°, γ = 15.60°
With the nearest neighbours (Å) after each atom.
Sites, in units of the cell vectors:
Ca 0.7500 0.7500 0.7500  6 Ca 2.96
Li 0.9903 0.9903 0.9903  3 Mo 2.93, 6 Li 2.96
Li 0.5097 0.5097 0.5097  3 Mo 2.93, 6 Li 2.96
Mo 0.2500 0.2500 0.2500  6 Li 2.93, 6 Mo 2.96

Calculated values
**SG**: No. 166
**E above lowest polymorph**: 0.223 eV/atom
**Formation enthalpy at 0 K**: 0.708 eV/atom

# 8
This record from the Alexandria database describes a relaxed LiCaMo2 crystal. The functional is PBE.

a = 2.9602 Å, b = 2.9602 Å, c = 9.7877 Å
α = 90.00°, β = 90.00°, γ = 112.55°
With the nearest neighbours (Å) after each atom.
Sites, in units of the cell vectors:
Mo 0.0000 0.0000 0.0197  2 Mo 2.52
Mo 0.5000 0.5000 0.2147  2 Mo 2.52
Ca 0.0000 0.0000 0.4819  6 Ca 2.96-3.29, 2 Mo 3.09
Li 0.5000 0.5000 0.7837  2 Mo 2.83, 4 Li 2.96

Calculated values
**SG**: No. 35
**E above lowest polymorph**: 0.100 eV/atom
**Formation enthalpy at 0 K**: 0.489 eV/atom

# 9
This record from the Alexandria database describes a relaxed LiCaMo2 crystal. The functional is PBE.

a = 3.7563 Å, b = 3.7563 Å, c = 11.0171 Å
α = 80.18°, β = 80.18°, γ = 90.00°
With the nearest neighbours (Å) after each atom.
Sites, in units of the cell vectors:
Mo 0.8750 0.8673 0.7500  4 Mo 2.62-2.70
Mo 0.1327 0.6250 0.2500  4 Mo 2.62-2.70
Mo 0.6173 0.1250 0.2500  4 Mo 2.62-2.70
Mo 0.3750 0.3827 0.7500  4 Mo 2.62-2.70
Li 0.5000 0.5000 0.0000  4 Ca 2.66
Li 0.2500 0.7500 0.5000  4 Ca 2.66
Ca 0.7500 0.2500 0.5000  4 Li 2.66
Ca 0.0000 0.0000 0.0000  4 Li 2.66

Calculated values
**SG**: No. 122
**E above lowest polymorph**: 0.411 eV/atom
**Formation enthalpy at 0 K**: 0.801 eV/atom

# 10
This record from the Alexandria database describes a relaxed Li2CaMo crystal. The functional is PBE.

a = 5.2382 Å, b = 5.2382 Å, c = 5.6215 Å
α = 81.66°, β = 81.66°, γ = 30.86°
With the nearest neighbours (Å) after each atom.
Sites, in units of the cell vectors:
Ca 0.7516 0.7516 0.7399  2 Ca 2.79, 3 Li 2.99-3.04, 3 Mo 3.06-3.10
Li 0.2515 0.2515 0.2685  4 Li 2.79-2.96, 3 Mo 2.92-3.00, 2 Ca 2.99
Li 0.9897 0.9897 0.0136  4 Li 2.79-2.96, 2 Mo 2.99, 1 Ca 3.04
Mo 0.5072 0.5072 0.4780  2 Mo 2.79, 5 Li 2.92-3.00, 3 Ca 3.06-3.10

Calculated values
**SG**: No. 8
**E above lowest polymorph**: 0.156 eV/atom
**Formation enthalpy at 0 K**: 0.641 eV/atom

# 11
This record from the Alexandria database describes a relaxed LiCaMo2 crystal. The functional is PBE.

a = 4.1729 Å, b = 2.8292 Å, c = 6.8130 Å
α = 76.36°, β = 90.00°, γ = 90.00°
With the nearest neighbours (Å) after each atom.
Sites, in units of the cell vectors:
Mo 0.5000 0.2416 0.1933  2 Mo 2.51, 1 Li 2.75
Mo 0.0000 0.0593 0.0189  2 Mo 2.51
Ca 0.0000 0.4368 0.4911  2 Ca 2.83, 2 Mo 3.05
Li 0.5000 0.7623 0.7967  5 Mo 2.75-3.03, 2 Li 2.83

Calculated values
**SG**: No. 6
**E above lowest polymorph**: 0.073 eV/atom
**Formation enthalpy at 0 K**: 0.462 eV/atom

# 12
This record from the Alexandria database describes a relaxed LiCaMo2 crystal. The functional is PBE.

a = 4.6602 Å, b = 4.6602 Å, c = 4.6602 Å
α = 60.00°, β = 60.00°, γ = 60.00°
With the nearest neighbours (Å) after each atom.
Sites, in units of the cell vectors:
Ca 0.5000 0.5000 0.5000  8 Mo 2.85
Li 0.0000 0.0000 0.0000  8 Mo 2.85
Mo 0.2500 0.2500 0.2500  4 Li 2.85, 4 Ca 2.85
Mo 0.7500 0.7500 0.7500  4 Li 2.85, 4 Ca 2.85

Calculated values
**SG**: No. 225
**E above lowest polymorph**: 0.957 eV/atom
**Formation enthalpy at 0 K**: 1.346 eV/atom